This record from Alexandria via LeMat-Bulk describes a geometry-optimized Ce3HgPt structure. The functional is PBE.

Cell: 3.5979 7.0197 11.1615 Å, 90.00 90.00 104.87°
Atoms (fractional coordinates):
Ce 0.8357 0.6713 0.5335
Hg 0.2374 0.4747 0.7500
Ce 0.4680 0.9359 0.2500
Ce 0.1643 0.3287 0.4665
Ce 0.1643 0.3287 0.0335
Ce 0.8357 0.6713 0.9665
Ce 0.5320 0.0641 0.7500
Pt 0.5000 0.0000 0.0000
Pt 0.5000 0.0000 0.5000
Hg 0.7626 0.5253 0.2500

VASP energy, eV per cell: -52.7
Total magnetic moment, μB per atom: 0.35
Distance to the lowest polymorph of the same formula, meV per atom: 20
DFT formation energy, kcal/mol of atoms: -10.3

This record from Alexandria via LeMat-Bulk describes a geometry-optimized SrTlCo2Te structure. The functional is PBE.

Cell: 5.4997 6.1264 5.4997 Å, 90.00 90.00 90.00°
Atoms (fractional coordinates):
Sr 0.0000 0.0000 0.0000
Co 0.0000 0.0000 0.5000
Te 0.0000 0.5000 0.0000
Co 0.5000 0.0000 0.0000
Tl 0.5000 0.5000 0.5000

VASP energy, eV per cell: -15.0
Formation energy from raw total energies, eV per atom: 1.27
Total magnetic moment, μB per atom: 0.87

This record from Alexandria via LeMat-Bulk describes a geometry-optimized Li6DyCu6 structure. The functional is PBE.

Cell: 4.9701 6.6925 6.6925 Å, 81.26 68.20 68.20°
Atoms (fractional coordinates):
Li 0.7099 0.7901 0.7901
Cu 0.5000 0.0000 0.5000
Cu 0.5000 0.7860 0.2140
Li 0.3580 0.6420 0.6420
Li 0.0000 0.6551 0.3449
Cu 0.5000 0.2140 0.7860
Dy 0.0000 0.0000 0.0000
Cu 0.0000 0.0000 0.5000
Li 0.2901 0.2099 0.2099
Li 0.0000 0.3449 0.6551
Li 0.6420 0.3580 0.3580
Cu 0.0000 0.5000 0.0000
Cu 0.5000 0.5000 0.0000

VASP energy, eV per cell: -41.5
Total magnetic moment, μB per atom: 0.00
DFT formation energy, kcal/mol of atoms: -1.6

This record from Alexandria via LeMat-Bulk describes a geometry-optimized CoPdI2 structure. The functional is PBE.

Cell: 6.0962 6.0962 7.4118 Å, 65.72 65.72 90.00°
Atoms (fractional coordinates):
I 0.3750 0.3958 0.7500
Pd 0.7500 0.2500 0.5000
I 0.6042 0.1250 0.2500
Co 0.2500 0.7500 0.5000
I 0.1458 0.6250 0.2500
I 0.8750 0.8542 0.7500
Co 0.5000 0.5000 0.0000
Pd 0.0000 0.0000 0.0000

VASP energy, eV per cell: -29.4
Formation energy from raw total energies, eV per atom: 0.18
Total magnetic moment, μB per atom: 0.62
Distance to the lowest polymorph of the same formula, meV per atom: 0

This record from Alexandria via LeMat-Bulk describes a geometry-optimized Pu2In3Hg2 structure. The functional is PBE.

Cell: 5.0054 3.1109 11.7659 Å, 90.00 102.25 90.00°
Atoms (fractional coordinates):
Hg 0.8603 0.0000 0.7208
In 0.0000 0.0000 0.0000
In 0.7105 0.0000 0.4210
Hg 0.1397 0.0000 0.2792
Pu 0.4260 0.5000 0.8522
In 0.2895 0.0000 0.5790
Pu 0.5740 0.5000 0.1478

VASP energy, eV per cell: -38.3
Total magnetic moment, μB per atom: 1.70
Distance to the lowest polymorph of the same formula, meV per atom: 0
DFT formation energy, kcal/mol of atoms: -2.6

This record from Alexandria via LeMat-Bulk describes a geometry-optimized NaCeBiSb structure. The functional is PBE.

Cell: 5.4635 5.4635 5.4635 Å, 60.00 60.00 60.00°
Atoms (fractional coordinates):
Na 0.0000 0.0000 0.0000
Sb 0.2500 0.2500 0.2500
Bi 0.7500 0.7500 0.7500
Ce 0.5000 0.5000 0.5000

VASP energy, eV per cell: -17.2
Formation energy from raw total energies, eV per atom: -0.49
Total magnetic moment, μB per atom: 0.18

This record from Alexandria via LeMat-Bulk describes a geometry-optimized NbVB2 structure. The functional is PBE.

Cell: 3.9398 3.9398 3.9398 Å, 60.00 60.00 60.00°
Atoms (fractional coordinates):
B 0.2500 0.2500 0.2500
B 0.7500 0.7500 0.7500
V 0.0000 0.0000 0.0000
Nb 0.5000 0.5000 0.5000

VASP energy, eV per cell: -31.9
Total magnetic moment, μB per atom: 0.00
Distance to the lowest polymorph of the same formula, meV per atom: 936
DFT formation energy, kcal/mol of atoms: 3.8

This record from Alexandria via LeMat-Bulk describes a geometry-optimized TaReCl2 structure. The functional is PBE.

Cell: 3.1488 3.1794 9.1686 Å, 96.91 99.79 97.40°
Atoms (fractional coordinates):
Ta 0.6975 0.2735 0.5706
Cl 0.7981 0.8259 0.7899
Re 0.1609 0.6323 0.3955
Cl 0.5122 0.5035 0.1848

VASP energy, eV per cell: -29.6
Formation energy from raw total energies, eV per atom: -0.39
Total magnetic moment, μB per atom: 0.00
Distance to the lowest polymorph of the same formula, meV per atom: 107

This record from Alexandria via LeMat-Bulk describes a geometry-optimized SrCo2PtC structure. The functional is PBE.

Cell: 4.8912 3.8952 4.8912 Å, 90.00 90.00 90.00°
Atoms (fractional coordinates):
Sr 0.5000 0.5000 0.5000
Pt 0.0000 0.0000 0.0000
C 0.0000 0.5000 0.0000
Co 0.0000 0.0000 0.5000
Co 0.5000 0.0000 0.0000

VASP energy, eV per cell: -27.2
Total magnetic moment, μB per atom: 0.72
DFT formation energy, kcal/mol of atoms: 18.4

This record from Alexandria via LeMat-Bulk describes a geometry-optimized BeTcSe2 structure. The functional is PBE.

Cell: 5.4997 5.4997 6.4266 Å, 64.67 64.67 90.00°
Atoms (fractional coordinates):
Se 0.1562 0.6250 0.2500
Se 0.5938 0.1250 0.2500
Tc 0.7500 0.2500 0.5000
Be 0.5000 0.5000 0.0000
Se 0.8750 0.8438 0.7500
Se 0.3750 0.4062 0.7500
Tc 0.0000 0.0000 0.0000
Be 0.2500 0.7500 0.5000

VASP energy, eV per cell: -42.5
Formation energy from raw total energies, eV per atom: -0.04
Total magnetic moment, μB per atom: 0.00

This record from Alexandria via LeMat-Bulk describes a geometry-optimized TbDy3Ho5 structure. The functional is PBE.

Cell: 9.4128 9.4128 11.4782 Å, 52.85 52.85 73.95°
Atoms (fractional coordinates):
Ho 0.5084 0.5084 0.7695
Dy 0.3062 0.3062 0.1847
Dy 0.0000 0.0000 0.0000
Dy 0.3412 0.3412 0.6385
Ho 0.1835 0.1835 0.0397
Ho 0.2586 0.7414 0.0000
Dy 0.6588 0.6588 0.3615
Ho 0.8165 0.8165 0.9603
Ho 0.6524 0.1501 0.7487
Ho 0.4916 0.4916 0.2305
Tb 0.1511 0.1511 0.5981
Ho 0.7414 0.2586 0.0000
Ho 0.3476 0.8499 0.2513
Tb 0.8489 0.8489 0.4019
Ho 0.8499 0.3476 0.2513
Ho 0.1501 0.6524 0.7487
Dy 0.6938 0.6938 0.8153
Dy 0.0000 0.0000 0.5000

VASP energy, eV per cell: -73.2
Total magnetic moment, μB per atom: 0.00
Distance to the lowest polymorph of the same formula, meV per atom: 391
DFT formation energy, kcal/mol of atoms: 12.1

This record from Alexandria via LeMat-Bulk describes a geometry-optimized NdBi2Pd9 structure. The functional is PBE.

Cell: 4.1701 4.1701 12.4210 Å, 90.00 90.00 90.00°
Atoms (fractional coordinates):
Pd 0.0000 0.5000 0.8289
Pd 0.5000 0.5000 0.6614
Pd 0.5000 0.5000 0.0000
Bi 0.0000 0.0000 0.3335
Pd 0.5000 0.5000 0.3386
Pd 0.5000 0.0000 0.1711
Pd 0.0000 0.5000 0.5000
Nd 0.0000 0.0000 0.0000
Pd 0.5000 0.0000 0.8289
Pd 0.0000 0.5000 0.1711
Pd 0.5000 0.0000 0.5000
Bi 0.0000 0.0000 0.6665

VASP energy, eV per cell: -64.2
Total magnetic moment, μB per atom: 0.00
Distance to the lowest polymorph of the same formula, meV per atom: 0
DFT formation energy, kcal/mol of atoms: -9.5

This record from Alexandria via LeMat-Bulk describes a geometry-optimized GdScI2 structure. The functional is PBE.

Cell: 3.8237 3.8237 10.6052 Å, 79.61 79.61 60.00°
Atoms (fractional coordinates):
I 0.1040 0.1040 0.6880
Sc 0.5000 0.5000 0.5000
Gd 0.0000 0.0000 0.0000
I 0.8960 0.8960 0.3120

VASP energy, eV per cell: -25.8
Formation energy from raw total energies, eV per atom: -0.57
Total magnetic moment, μB per atom: 2.00

This record from Alexandria via LeMat-Bulk describes a geometry-optimized La3Sm6Tm2Th structure. The functional is PBE.

Cell: 6.2685 6.2685 12.0971 Å, 94.95 94.95 119.98°
Atoms (fractional coordinates):
Sm 0.2496 0.2496 0.7567
La 0.8332 0.1668 0.5000
Sm 0.5883 0.9189 0.7571
Th 0.0000 0.0000 0.0000
Sm 0.4117 0.0811 0.2429
La 0.1668 0.8332 0.5000
Tm 0.3333 0.6667 0.0000
La 0.5000 0.5000 0.5000
Sm 0.9189 0.5883 0.7571
Sm 0.0811 0.4117 0.2429
Tm 0.6667 0.3333 0.0000
Sm 0.7504 0.7504 0.2433

VASP energy, eV per cell: -59.1
Total magnetic moment, μB per atom: 0.00
DFT formation energy, kcal/mol of atoms: 0.6

This record from Alexandria via LeMat-Bulk describes a geometry-optimized Pr8Y3Tm structure. The functional is PBE.

Cell: 8.5752 8.5752 8.5752 Å, 93.82 117.82 117.82°
Atoms (fractional coordinates):
Pr 0.7508 0.1229 0.1229
Pr 0.0000 0.7586 0.2531
Y 0.5000 0.2500 0.7500
Tm 0.0000 0.0000 0.0000
Pr 0.0000 0.2531 0.7586
Pr 0.0000 0.6278 0.8771
Pr 0.0000 0.8771 0.6278
Pr 0.2492 0.3722 0.3722
Y 0.0000 0.5000 0.5000
Pr 0.4945 0.2414 0.2414
Pr 0.5055 0.7469 0.7469
Y 0.5000 0.7500 0.2500

VASP energy, eV per cell: -55.2
Total magnetic moment, μB per atom: 0.00
DFT formation energy, kcal/mol of atoms: 13.2

This record from Alexandria via LeMat-Bulk describes a geometry-optimized Pu2PaTa structure. The functional is PBE.

Cell: 3.1150 5.3077 5.3077 Å, 90.00 90.00 90.00°
Atoms (fractional coordinates):
Ta 0.5000 0.5000 0.5000
Pu 0.0000 0.0000 0.5000
Pa 0.5000 0.0000 0.0000
Pu 0.0000 0.5000 0.0000

VASP energy, eV per cell: -48.8
Total magnetic moment, μB per atom: 2.45
Distance to the lowest polymorph of the same formula, meV per atom: 16
DFT formation energy, kcal/mol of atoms: 6.8

This record from Alexandria via LeMat-Bulk describes a geometry-optimized Ac2PdPb8 structure. The functional is PBE.

Cell: 5.0474 5.0474 13.2712 Å, 90.00 90.00 90.00°
Atoms (fractional coordinates):
Pb 0.5000 0.0000 0.8790
Ac 0.0000 0.0000 0.3120
Pb 0.5000 0.0000 0.1210
Pd 0.0000 0.0000 0.0000
Pb 0.5000 0.5000 0.6946
Pb 0.0000 0.5000 0.5000
Ac 0.0000 0.0000 0.6880
Pb 0.0000 0.5000 0.1210
Pb 0.5000 0.0000 0.5000
Pb 0.5000 0.5000 0.3054
Pb 0.0000 0.5000 0.8790

VASP energy, eV per cell: -46.6
Total magnetic moment, μB per atom: 0.00
DFT formation energy, kcal/mol of atoms: -7.4

This record from Alexandria via LeMat-Bulk describes a geometry-optimized Ho3B2Rh9Au structure. The functional is PBE.

Cell: 5.8014 5.8014 8.8811 Å, 90.00 90.00 120.00°
Atoms (fractional coordinates):
Rh 0.6778 0.8389 0.2642
Rh 0.5000 0.5000 0.0000
Ho 0.0000 0.0000 0.0000
Rh 0.1611 0.3222 0.2642
Rh 0.3222 0.1611 0.7358
Au 0.0000 0.0000 0.5000
Rh 0.5000 0.0000 0.0000
B 0.6667 0.3333 0.8545
B 0.3333 0.6667 0.1455
Rh 0.8389 0.6778 0.7358
Rh 0.1611 0.8389 0.2642
Ho 0.6667 0.3333 0.3165
Rh 0.0000 0.5000 0.0000
Ho 0.3333 0.6667 0.6835
Rh 0.8389 0.1611 0.7358

VASP energy, eV per cell: -103.9
Total magnetic moment, μB per atom: 0.00
DFT formation energy, kcal/mol of atoms: -11.3

This record from Alexandria via LeMat-Bulk describes a geometry-optimized LaTbNd4 structure. The functional is PBE.

Cell: 6.7394 6.7394 6.7394 Å, 60.00 60.00 60.00°
Atoms (fractional coordinates):
Nd 0.6259 0.6259 0.6259
Nd 0.6259 0.1223 0.6259
Nd 0.1223 0.6259 0.6259
La 0.2500 0.2500 0.2500
Tb 0.0000 0.0000 0.0000
Nd 0.6259 0.6259 0.1223

VASP energy, eV per cell: -27.2
Total magnetic moment, μB per atom: 0.00
Distance to the lowest polymorph of the same formula, meV per atom: 227
DFT formation energy, kcal/mol of atoms: 5.6

This record from Alexandria via LeMat-Bulk describes a geometry-optimized TeS2O8F structure. The functional is PBE.

Cell: 5.0734 5.0734 7.6436 Å, 82.44 82.44 65.38°
Atoms (fractional coordinates):
O 0.7101 0.2678 0.7982
O 0.6765 0.6765 0.3852
F 0.0000 0.0000 0.5000
O 0.3235 0.3235 0.6148
Te 0.0000 0.0000 0.0000
S 0.3848 0.3848 0.7770
O 0.2899 0.7322 0.2018
O 0.7426 0.7426 0.0570
O 0.2574 0.2574 0.9430
O 0.7322 0.2899 0.2018
O 0.2678 0.7101 0.7982
S 0.6152 0.6152 0.2230

VASP energy, eV per cell: -63.9
Formation energy from raw total energies, eV per atom: -0.91
Total magnetic moment, μB per atom: 0.08